Record 1
First-principles (GGA-PBE) data for a relaxed structure of Y2ErTl2Ag2, as listed in the Alexandria database.

Values from the calculation:
uncorrected energy	-4.16	eV/atom
magnetic moment	0.00	Bohr magnetons per cell

abc: 4.8571 4.8571 9.4386
angles: 75.09 75.09 60.00
Sites, in units of the cell vectors:
Ag 0.6083 0.6083 0.1751
Ag 0.3917 0.3917 0.8249
Er 0.0000 0.0000 0.0000
Y 0.8753 0.8753 0.3741
Y 0.1247 0.1247 0.6259
Tl 0.7415 0.7415 0.7755
Tl 0.2585 0.2585 0.2245

=====

Record 2
First-principles (GGA-PBE) data for a relaxed structure of PuPaAg, as listed in the Alexandria database.

Values from the calculation:
uncorrected energy	-8.53	eV/atom
magnetic moment	11.17	Bohr magnetons per cell

abc: 6.0553 5.9766 5.6009
angles: 74.11 57.28 59.56
Site moments in Bohr magnetons follow the coordinates.
Sites, in units of the cell vectors:
Ag 0.8697 0.2605 0.0000  0.00
Ag 0.1303 0.7395 0.0000  0.00
Pa 0.2500 0.5000 0.5000  0.17
Pa 0.7500 0.5000 0.5000  0.17
Pu 0.6804 0.0000 0.6391  5.19
Pu 0.3196 0.0000 0.3609  5.19

=====

Record 3
First-principles (GGA-PBE) data for a relaxed structure of Sm3TmTh2, as listed in the Alexandria database.

Values from the calculation:
uncorrected energy	-5.41	eV/atom
magnetic moment	0.00	Bohr magnetons per cell

abc: 6.6200 6.9078 9.3746
angles: 111.62 89.99 90.03
Sites, in units of the cell vectors:
Sm 0.2504 0.0765 0.6497
Sm 0.7504 0.4268 0.3503
Sm 0.7496 0.9235 0.3503
Sm 0.7500 0.8532 0.7064
Sm 0.2500 0.1468 0.2936
Sm 0.2496 0.5732 0.6497
Tm 0.2500 0.6461 0.2922
Tm 0.7500 0.3539 0.7078
Th 0.4997 0.7467 0.9999
Th 0.5003 0.2533 0.0001
Th 0.9997 0.7469 0.0001
Th 0.0003 0.2531 0.9999

=====

Record 4
First-principles (GGA-PBE) data for a relaxed structure of Zr2PtW, as listed in the Alexandria database.

Values from the calculation:
uncorrected energy	-8.57	eV/atom
magnetic moment	0.00	Bohr magnetons per cell

abc: 4.1034 4.1034 10.0590
angles: 78.23 78.23 90.00
Sites, in units of the cell vectors:
W 0.2500 0.7500 0.5000
W 0.5000 0.5000 0.0000
Pt 0.7500 0.2500 0.5000
Pt 0.0000 0.0000 0.0000
Zr 0.8750 0.8729 0.7500
Zr 0.6229 0.1250 0.2500
Zr 0.1271 0.6250 0.2500
Zr 0.3750 0.3771 0.7500

=====

Record 5
First-principles (GGA-PBE) data for a relaxed structure of BaSi3Bi, as listed in the Alexandria database.

Values from the calculation:
magnetic moment	0.00	Bohr magnetons per cell
formation energy (no corrections)	17.8	kcal/mol of atoms

abc: 5.4778 5.4778 5.4778
angles: 90.00 90.00 90.00
Sites, in units of the cell vectors:
Si 0.5000 0.0000 0.0000
Si 0.0000 0.0000 0.5000
Si 0.0000 0.5000 0.0000
Ba 0.5000 0.5000 0.5000
Bi 0.0000 0.0000 0.0000

=====

Record 6
First-principles (GGA-PBE) data for a relaxed structure of MgAl2Ir2, as listed in the Alexandria database.

Values from the calculation:
uncorrected energy	-6.11	eV/atom
magnetic moment	0.00	Bohr magnetons per cell

abc: 7.2916 7.2916 2.8694
angles: 90.00 90.00 90.00
Sites, in units of the cell vectors:
Mg 0.5000 0.5000 0.0000
Mg 0.0000 0.0000 0.0000
Al 0.1322 0.3678 0.0000
Al 0.3678 0.8678 0.0000
Al 0.6322 0.1322 0.0000
Al 0.8678 0.6322 0.0000
Ir 0.6637 0.8363 0.5000
Ir 0.3363 0.1637 0.5000
Ir 0.8363 0.3363 0.5000
Ir 0.1637 0.6637 0.5000

=====

Record 7
First-principles (GGA-PBE) data for a relaxed structure of Li2PmPbAu2, as listed in the Alexandria database.

Values from the calculation:
uncorrected energy	-3.71	eV/atom
magnetic moment	0.00	Bohr magnetons per cell

abc: 4.6707 4.6707 6.6666
angles: 90.00 90.00 120.00
Sites, in units of the cell vectors:
Li 0.3333 0.6667 0.6775
Li 0.6667 0.3333 0.3225
Pb 0.0000 0.0000 0.5000
Pm 0.0000 0.0000 0.0000
Au 0.3333 0.6667 0.2419
Au 0.6667 0.3333 0.7581

=====

Record 8
First-principles (GGA-PBE) data for a relaxed structure of Y3InN, as listed in the Alexandria database.

Values from the calculation:
magnetic moment	0.00	Bohr magnetons per cell
formation energy (no corrections)	-6.6	kcal/mol of atoms

abc: 5.8898 5.8898 5.8898
angles: 110.84 110.84 110.84
Sites, in units of the cell vectors:
In 0.5787 0.5787 0.5787
Y 0.2810 0.9183 0.9183
Y 0.9183 0.2810 0.9183
Y 0.9183 0.9183 0.2810
N 0.1788 0.1788 0.1788

=====

Record 9
First-principles (GGA-PBE) data for a relaxed structure of NbSn3C, as listed in the Alexandria database.

Values from the calculation:
uncorrected energy	-5.16	eV/atom
magnetic moment	0.00	Bohr magnetons per cell

abc: 4.6740 4.6740 4.6740
angles: 90.00 90.00 90.00
Sites, in units of the cell vectors:
Sn 0.0000 0.0000 0.5000
Sn 0.5000 0.0000 0.0000
Sn 0.0000 0.5000 0.0000
Nb 0.5000 0.5000 0.5000
C 0.0000 0.0000 0.0000

=====

Record 10
First-principles (GGA-PBE) data for a relaxed structure of RbZnTe3, as listed in the Alexandria database.

Values from the calculation:
magnetic moment	5.00	Bohr magnetons per cell
formation energy (no corrections)	21.0	kcal/mol of atoms

abc: 6.9652 6.9652 6.9652
angles: 90.00 90.00 90.00
Site moments in Bohr magnetons follow the coordinates.
Sites, in units of the cell vectors:
Rb 0.0000 0.0000 0.0000  0.01
Te 0.0000 0.5000 0.0000  0.80
Te 0.0000 0.0000 0.5000  0.87
Te 0.5000 0.0000 0.0000  0.77
Zn 0.5000 0.5000 0.5000  0.07

=====

Record 11
First-principles (GGA-PBE) data for a relaxed structure of Sr2MoSe, as listed in the Alexandria database.

Values from the calculation:
magnetic moment	3.26	Bohr magnetons per cell
formation energy (no corrections)	0.8	kcal/mol of atoms

abc: 4.0999 4.0999 8.9526
angles: 76.82 76.82 59.95
Site moments in Bohr magnetons follow the coordinates.
Sites, in units of the cell vectors:
Se 0.2500 0.2500 0.2500  0.02
Sr 0.5093 0.5093 0.4732  0.01
Sr 0.9907 0.9907 0.0268  0.01
Mo 0.7500 0.7500 0.7500  2.65

=====

Record 12
First-principles (GGA-PBE) data for a relaxed structure of Th2Co3As4Au, as listed in the Alexandria database.

Values from the calculation:
uncorrected energy	-6.48	eV/atom
magnetic moment	0.97	Bohr magnetons per cell

abc: 4.2758 4.2758 9.6313
angles: 90.00 90.00 90.00
Site moments in Bohr magnetons follow the coordinates.
Sites, in units of the cell vectors:
Co 0.0000 0.5000 0.1079  0.05
Co 0.5000 0.0000 0.8921  0.05
Co 0.0000 0.0000 0.5000  0.93
Th 0.5000 0.0000 0.2390  -0.03
Th 0.0000 0.5000 0.7610  -0.03
As 0.5000 0.5000 0.0000  0.00
As 0.0000 0.0000 0.0000  0.00
As 0.0000 0.5000 0.3490  0.02
As 0.5000 0.0000 0.6510  0.02
Au 0.5000 0.5000 0.5000  0.03

=====

Record 13
First-principles (GGA-PBE) data for a relaxed structure of TbCdAu, as listed in the Alexandria database.

Values from the calculation:
uncorrected energy	-3.60	eV/atom
magnetic moment	0.00	Bohr magnetons per cell

abc: 3.8936 7.8555 7.8555
angles: 120.00 90.00 90.00
Sites, in units of the cell vectors:
Tb 0.0000 0.5981 0.5981
Tb 0.0000 0.0000 0.4019
Tb 0.0000 0.4019 0.0000
Au 0.0000 0.0000 0.0000
Au 0.5000 0.3333 0.6667
Au 0.5000 0.6667 0.3333
Cd 0.5000 0.7368 0.0000
Cd 0.5000 0.0000 0.7368
Cd 0.5000 0.2632 0.2632

=====

Record 14
First-principles (GGA-PBE) data for a relaxed structure of BaOsW, as listed in the Alexandria database.

Values from the calculation:
uncorrected energy	-7.09	eV/atom
magnetic moment	0.00	Bohr magnetons per cell

abc: 4.6379 4.6379 4.6379
angles: 60.00 60.00 60.00
Sites, in units of the cell vectors:
Os 0.5000 0.5000 0.5000
W 0.2500 0.2500 0.2500
Ba 0.0000 0.0000 0.0000

=====

Record 15
First-principles (GGA-PBE) data for a relaxed structure of AsP2I2, as listed in the Alexandria database.

Values from the calculation:
magnetic moment	0.00	Bohr magnetons per cell
formation energy (no corrections)	14.2	kcal/mol of atoms

abc: 7.2369 7.2369 5.3154
angles: 90.00 90.00 90.00
Sites, in units of the cell vectors:
I 0.1770 0.6770 0.5000
I 0.8230 0.3230 0.5000
I 0.6770 0.8230 0.5000
I 0.3230 0.1770 0.5000
P 0.2833 0.2167 0.0000
P 0.7167 0.7833 0.0000
P 0.2167 0.7167 0.0000
P 0.7833 0.2833 0.0000
As 0.0000 0.0000 0.0000
As 0.5000 0.5000 0.0000

=====

Record 16
First-principles (GGA-PBE) data for a relaxed structure of BaFe2I7, as listed in the Alexandria database.

Values from the calculation:
magnetic moment	8.42	Bohr magnetons per cell
formation energy (no corrections)	-11.2	kcal/mol of atoms

abc: 5.4881 10.0118 10.0119
angles: 103.16 90.00 90.00
Site moments in Bohr magnetons follow the coordinates.
Sites, in units of the cell vectors:
Fe 0.5000 0.7177 0.7177  3.35
Fe 0.5000 0.2823 0.2823  3.35
I 0.5000 0.9800 0.7164  0.12
I 0.5000 0.7164 0.9800  0.12
I 0.5000 0.5000 0.5000  0.14
I 0.5000 0.0200 0.2836  0.12
I 0.0000 0.7072 0.7072  0.12
I 0.5000 0.2836 0.0200  0.12
I 0.0000 0.2928 0.2928  0.12
Ba 0.0000 0.0000 0.0000  0.00

=====

Record 17
First-principles (GGA-PBE) data for a relaxed structure of Pr3Dy2Cd3, as listed in the Alexandria database.

Values from the calculation:
uncorrected energy	-3.52	eV/atom
magnetic moment	0.01	Bohr magnetons per cell

abc: 3.7943 5.5505 11.8170
angles: 103.58 99.24 90.00
Sites, in units of the cell vectors:
Pr 0.6243 0.6243 0.2486
Pr 0.5000 0.0000 0.0000
Pr 0.3757 0.3757 0.7514
Dy 0.2649 0.7649 0.5299
Dy 0.7351 0.2351 0.4701
Cd 0.1218 0.1218 0.2436
Cd 0.8782 0.8782 0.7564
Cd 0.0000 0.5000 0.0000

=====

Record 18
First-principles (GGA-PBE) data for a relaxed structure of HfNi2Cl, as listed in the Alexandria database.

Values from the calculation:
magnetic moment	0.00	Bohr magnetons per cell
formation energy (no corrections)	-1.3	kcal/mol of atoms

abc: 6.9332 6.9332 5.5151
angles: 51.06 51.06 90.00
Sites, in units of the cell vectors:
Ni 0.8750 0.8472 0.7500
Ni 0.3750 0.4028 0.7500
Ni 0.1528 0.6250 0.2500
Ni 0.5972 0.1250 0.2500
Hf 0.0000 0.0000 0.0000
Hf 0.7500 0.2500 0.5000
Cl 0.5000 0.5000 0.0000
Cl 0.2500 0.7500 0.5000

=====

Record 19
First-principles (GGA-PBE) data for a relaxed structure of TaCoP2, as listed in the Alexandria database.

Values from the calculation:
uncorrected energy	-7.74	eV/atom
magnetic moment	0.00	Bohr magnetons per cell

abc: 4.2980 4.2980 4.2980
angles: 128.75 113.74 88.37
Sites, in units of the cell vectors:
Co 0.2500 0.7500 0.5000
Ta 0.7500 0.2500 0.5000
P 0.0459 0.0459 0.0000
P 0.4541 0.4541 0.0000

=====

Record 20
First-principles (GGA-PBE) data for a relaxed structure of CeLuTcRu, as listed in the Alexandria database.

Values from the calculation:
uncorrected energy	-7.77	eV/atom
magnetic moment	0.00	Bohr magnetons per cell

abc: 4.8008 4.8008 4.8008
angles: 60.00 60.00 60.00
Sites, in units of the cell vectors:
Ce 0.7500 0.7500 0.7500
Ru 0.0000 0.0000 0.0000
Lu 0.2500 0.2500 0.2500
Tc 0.5000 0.5000 0.5000

=====

Record 21
First-principles (GGA-PBE) data for a relaxed structure of HoPuNp, as listed in the Alexandria database.

Values from the calculation:
uncorrected energy	-10.38	eV/atom
magnetic moment	0.00	Bohr magnetons per cell

abc: 4.3019 5.0637 12.5461
angles: 90.00 90.00 90.00
Sites, in units of the cell vectors:
Pu 0.7500 0.6672 0.5056
Pu 0.2500 0.3328 0.4944
Pu 0.7500 0.8328 0.0056
Pu 0.2500 0.1672 0.9944
Ho 0.7500 0.2552 0.7012
Ho 0.7500 0.2448 0.2013
Ho 0.2500 0.7552 0.7988
Ho 0.2500 0.7448 0.2988
Np 0.7500 0.1321 0.4401
Np 0.7500 0.3679 0.9401
Np 0.2500 0.6321 0.0599
Np 0.2500 0.8679 0.5599

=====

Record 22
First-principles (GGA-PBE) data for a relaxed structure of Dy2Tm3Th, as listed in the Alexandria database.

Values from the calculation:
uncorrected energy	-4.77	eV/atom
magnetic moment	0.00	Bohr magnetons per cell

abc: 6.7552 7.6907 7.6907
angles: 74.81 90.00 90.00
Sites, in units of the cell vectors:
Th 0.3271 0.1460 0.1460
Th 0.8271 0.8540 0.8540
Tm 0.0766 0.7891 0.4454
Tm 0.5766 0.2109 0.5546
Tm 0.0766 0.4454 0.7891
Tm 0.8254 0.1488 0.1488
Tm 0.3254 0.8512 0.8512
Tm 0.5766 0.5546 0.2109
Dy 0.0762 0.5238 0.1775
Dy 0.5762 0.4762 0.8225
Dy 0.5762 0.8225 0.4762
Dy 0.0762 0.1775 0.5238

=====

Record 23
First-principles (GGA-PBE) data for a relaxed structure of UCuSnS4, as listed in the Alexandria database.

Values from the calculation:
magnetic moment	2.59	Bohr magnetons per cell
formation energy (no corrections)	-16.9	kcal/mol of atoms

abc: 6.4572 5.9019 8.1489
angles: 90.00 108.14 90.00
Site moments in Bohr magnetons follow the coordinates.
Sites, in units of the cell vectors:
Cu 0.7628 0.2500 0.6670  -0.05
Cu 0.2372 0.7500 0.3330  -0.05
S 0.4523 0.7500 0.6076  -0.06
S 0.0278 0.9875 0.7209  -0.07
S 0.9722 0.4875 0.2791  -0.07
S 0.5477 0.2500 0.3924  -0.06
S 0.9722 0.0125 0.2791  -0.07
S 0.5699 0.2500 0.8641  -0.04
S 0.0278 0.5125 0.7209  -0.07
S 0.4301 0.7500 0.1359  -0.04
Sn 0.2871 0.2500 0.0445  0.00
Sn 0.7129 0.7500 0.9555  0.00
U 0.2389 0.2500 0.5509  1.55
U 0.7611 0.7500 0.4491  1.55